Record 1
MgZnRe2: optimized geometry, GGA-PBE.

Cell: 3.060 3.060 6.745 Å, 90.00 90.00 90.00°
Sites, in units of the cell vectors:
Mg (0.000, 0.000, 0.000)
Zn (0.500, 0.500, 0.736)
Re (0.000, 0.000, 0.485)
Re (0.500, 0.500, 0.276)

Space-group type = P4mm (99)
Polymorph energy (0 for the lowest one) = 0.0 kJ/mol of atoms
Calculated formation energy = 0.051 eV per atom


Record 2
MgZnRe2: optimized geometry, GGA-PBE.

Cell: 2.783 2.783 27.510 Å, 90.00 90.00 120.00°
Sites, in units of the cell vectors:
Mg (0.000, 0.000, 0.000)
Mg (0.333, 0.667, 0.667)
Mg (0.667, 0.333, 0.333)
Zn (0.000, 0.000, 0.500)
Zn (0.333, 0.667, 0.167)
Zn (0.667, 0.333, 0.833)
Re (0.000, 0.000, 0.247)
Re (0.000, 0.000, 0.753)
Re (0.333, 0.667, 0.419)
Re (0.333, 0.667, 0.914)
Re (0.667, 0.333, 0.086)
Re (0.667, 0.333, 0.581)

Space-group type = R-3m (166)
Polymorph energy (0 for the lowest one) = 25.5 kJ/mol of atoms
Calculated formation energy = 0.315 eV per atom


Record 3
Mg2ZnRe: optimized geometry, GGA-PBE.

Cell: 2.922 4.748 9.653 Å, 90.00 90.00 90.00°
Sites, in units of the cell vectors:
Mg (0.000, 0.000, 0.000)
Mg (0.000, 0.500, 0.222)
Mg (0.500, 0.000, 0.722)
Mg (0.500, 0.500, 0.500)
Zn (0.000, 0.000, 0.475)
Zn (0.500, 0.500, 0.975)
Re (0.000, 0.500, 0.751)
Re (0.500, 0.000, 0.251)

Space-group type = Imm2 (44)
Calculated formation energy = 0.255 eV per atom


Record 4
MgZn2Re: optimized geometry, GGA-PBE.

Cell: 2.723 4.101 5.533 Å, 90.00 90.00 90.00°
Sites, in units of the cell vectors:
Mg (0.000, 0.000, 0.000)
Zn (0.500, 0.500, 0.269)
Zn (0.500, 0.500, 0.731)
Re (0.000, 0.000, 0.500)

Space-group type = Pmmm (47)
Calculated formation energy = 0.190 eV per atom


Record 5
MgZnRe2: optimized geometry, GGA-PBE.

Cell: 2.828 2.828 27.698 Å, 90.00 90.00 120.00°
Sites, in units of the cell vectors:
Mg (0.000, 0.000, 0.000)
Mg (0.333, 0.667, 0.667)
Mg (0.667, 0.333, 0.333)
Zn (0.000, 0.000, 0.242)
Zn (0.333, 0.667, 0.909)
Zn (0.667, 0.333, 0.575)
Re (0.000, 0.000, 0.494)
Re (0.000, 0.000, 0.753)
Re (0.333, 0.667, 0.161)
Re (0.333, 0.667, 0.419)
Re (0.667, 0.333, 0.086)
Re (0.667, 0.333, 0.827)

Space-group type = R3m (160)
Polymorph energy (0 for the lowest one) = 6.9 kJ/mol of atoms
Calculated formation energy = 0.122 eV per atom


Record 6
Mg2ZnRe: optimized geometry, GGA-PBE.

Cell: 3.952 3.952 8.314 Å, 90.00 90.00 90.00°
Sites, in units of the cell vectors:
Mg (0.000, 0.000, 0.000)
Mg (0.000, 0.500, 0.250)
Mg (0.500, 0.000, 0.750)
Mg (0.500, 0.500, 0.500)
Zn (0.000, 0.000, 0.500)
Zn (0.500, 0.500, 0.000)
Re (0.000, 0.500, 0.750)
Re (0.500, 0.000, 0.250)

Space-group type = I-4m2 (119)
Calculated formation energy = 0.325 eV per atom


Record 7
MgZn2Re: optimized geometry, GGA-PBE.

Cell: 3.773 3.773 8.516 Å, 90.00 90.00 90.00°
Sites, in units of the cell vectors:
Mg (0.000, 0.000, 0.000)
Mg (0.500, 0.500, 0.500)
Zn (0.000, 0.000, 0.500)
Zn (0.000, 0.500, 0.250)
Zn (0.500, 0.000, 0.750)
Zn (0.500, 0.500, 0.000)
Re (0.000, 0.500, 0.750)
Re (0.500, 0.000, 0.250)

Space-group type = I-4m2 (119)
Calculated formation energy = 0.260 eV per atom


Record 8
MgZn2Re: optimized geometry, GGA-PBE.

Cell: 2.715 2.715 8.462 Å, 90.00 90.00 90.00°
Sites, in units of the cell vectors:
Mg (0.000, 0.000, 0.000)
Zn (0.000, 0.000, 0.499)
Zn (0.500, 0.500, 0.736)
Re (0.500, 0.500, 0.258)

Space-group type = P4mm (99)
Calculated formation energy = 0.224 eV per atom


Record 9
MgZn2Re: optimized geometry, GGA-PBE.

Cell: 2.728 4.180 5.451 Å, 90.00 90.00 90.00°
Sites, in units of the cell vectors:
Mg (0.000, 0.000, 0.000)
Zn (0.000, 0.000, 0.477)
Zn (0.500, 0.500, 0.748)
Re (0.500, 0.500, 0.254)

Space-group type = Pmm2 (25)
Calculated formation energy = 0.229 eV per atom


Record 10
Mg2ZnRe: optimized geometry, GGA-PBE.

Cell: 2.948 4.667 9.377 Å, 90.00 90.00 90.00°
Sites, in units of the cell vectors:
Mg (0.000, 0.000, 0.245)
Mg (0.000, 0.000, 0.755)
Mg (0.500, 0.500, 0.255)
Mg (0.500, 0.500, 0.745)
Zn (0.000, 0.500, 0.500)
Zn (0.500, 0.000, 0.000)
Re (0.000, 0.500, 0.000)
Re (0.500, 0.000, 0.500)

Space-group type = Immm (71)
Calculated formation energy = 0.273 eV per atom


Record 11
MgZnRe2: optimized geometry, GGA-PBE.

Cell: 2.642 2.642 8.797 Å, 90.00 90.00 90.00°
Sites, in units of the cell vectors:
Mg (0.000, 0.000, 0.000)
Zn (0.000, 0.000, 0.500)
Re (0.500, 0.500, 0.259)
Re (0.500, 0.500, 0.741)

Space-group type = P4/mmm (123)
Polymorph energy (0 for the lowest one) = 32.3 kJ/mol of atoms
Calculated formation energy = 0.386 eV per atom


Record 12
MgZnRe2: optimized geometry, GGA-PBE.

Cell: 3.252 3.252 6.054 Å, 90.00 90.00 90.00°
Sites, in units of the cell vectors:
Mg (0.000, 0.000, 0.000)
Zn (0.000, 0.000, 0.500)
Re (0.500, 0.500, 0.301)
Re (0.500, 0.500, 0.699)

Space-group type = P4/mmm (123)
Polymorph energy (0 for the lowest one) = 49.7 kJ/mol of atoms
Calculated formation energy = 0.566 eV per atom


Record 13
Mg2ZnRe: optimized geometry, GGA-PBE.

Cell: 3.901 3.901 8.501 Å, 90.00 90.00 90.00°
Sites, in units of the cell vectors:
Mg (0.000, 0.500, 0.250)
Mg (0.000, 0.500, 0.750)
Mg (0.500, 0.000, 0.250)
Mg (0.500, 0.000, 0.750)
Zn (0.000, 0.000, 0.000)
Zn (0.500, 0.500, 0.500)
Re (0.000, 0.000, 0.500)
Re (0.500, 0.500, 0.000)

Space-group type = I4/mmm (139)
Calculated formation energy = 0.310 eV per atom


Record 14
MgZn2Re: optimized geometry, GGA-PBE.

Cell: 3.047 3.047 6.666 Å, 90.00 90.00 90.00°
Sites, in units of the cell vectors:
Mg (0.000, 0.000, 0.000)
Zn (0.500, 0.500, 0.265)
Zn (0.500, 0.500, 0.735)
Re (0.000, 0.000, 0.500)

Space-group type = P4/mmm (123)
Calculated formation energy = 0.273 eV per atom


Record 15
MgZnRe2: optimized geometry, GGA-PBE.

Cell: 2.675 4.576 5.078 Å, 90.00 98.53 90.00°
Sites, in units of the cell vectors:
Mg (0.000, 0.000, 0.000)
Zn (0.500, 0.000, 0.500)
Re (0.294, 0.500, 0.757)
Re (0.706, 0.500, 0.243)

Space-group type = P2/m (10)
Polymorph energy (0 for the lowest one) = 21.5 kJ/mol of atoms
Calculated formation energy = 0.274 eV per atom


Record 16
Mg2ZnRe: optimized geometry, GGA-PBE.

Cell: 2.777 2.777 8.883 Å, 90.00 90.00 90.00°
Sites, in units of the cell vectors:
Mg (0.000, 0.000, 0.000)
Mg (0.500, 0.500, 0.295)
Zn (0.500, 0.500, 0.757)
Re (0.000, 0.000, 0.535)

Space-group type = P4mm (99)
Calculated formation energy = 0.277 eV per atom


Record 17
Mg2ZnRe: optimized geometry, GGA-PBE.

Cell: 9.586 2.837 4.924 Å, 90.00 102.43 90.00°
Sites, in units of the cell vectors:
Mg (0.248, 0.000, 0.257)
Mg (0.252, 0.500, 0.743)
Mg (0.748, 0.500, 0.257)
Mg (0.752, 0.000, 0.743)
Zn (0.000, 0.500, 0.000)
Zn (0.500, 0.000, 0.000)
Re (0.000, 0.000, 0.500)
Re (0.500, 0.500, 0.500)

Space-group type = C2/m (12)
Calculated formation energy = 0.265 eV per atom


Record 18
Mg2ZnRe: optimized geometry, GGA-PBE.

Cell: 6.399 6.399 6.399 Å, 90.00 90.00 90.00°
Sites, in units of the cell vectors:
Mg (0.000, 0.000, 0.000)
Mg (0.000, 0.500, 0.500)
Mg (0.250, 0.250, 0.250)
Mg (0.250, 0.750, 0.750)
Mg (0.500, 0.000, 0.500)
Mg (0.500, 0.500, 0.000)
Mg (0.750, 0.250, 0.750)
Mg (0.750, 0.750, 0.250)
Zn (0.250, 0.250, 0.750)
Zn (0.250, 0.750, 0.250)
Zn (0.750, 0.250, 0.250)
Zn (0.750, 0.750, 0.750)
Re (0.000, 0.000, 0.500)
Re (0.000, 0.500, 0.000)
Re (0.500, 0.000, 0.000)
Re (0.500, 0.500, 0.500)

Space-group type = F-43m (216)
Calculated formation energy = 0.401 eV per atom


Record 19
MgZnRe2: optimized geometry, GGA-PBE.

Cell: 2.732 4.397 5.285 Å, 90.00 100.21 90.00°
Sites, in units of the cell vectors:
Mg (0.000, 0.000, 0.000)
Zn (0.347, 0.500, 0.785)
Re (0.478, 0.000, 0.496)
Re (0.698, 0.500, 0.301)

Space-group type = Pm (6)
Polymorph energy (0 for the lowest one) = 15.6 kJ/mol of atoms
Calculated formation energy = 0.212 eV per atom


Record 20
MgZnRe: optimized geometry, GGA-PBE.

Cell: 6.014 6.014 6.014 Å, 90.00 90.00 90.00°
Sites, in units of the cell vectors:
Mg (0.000, 0.000, 0.000)
Mg (0.000, 0.500, 0.500)
Mg (0.500, 0.000, 0.500)
Mg (0.500, 0.500, 0.000)
Zn (0.250, 0.250, 0.250)
Zn (0.250, 0.750, 0.750)
Zn (0.750, 0.250, 0.750)
Zn (0.750, 0.750, 0.250)
Re (0.000, 0.000, 0.500)
Re (0.000, 0.500, 0.000)
Re (0.500, 0.000, 0.000)
Re (0.500, 0.500, 0.500)

Space-group type = F-43m (216)
Polymorph energy (0 for the lowest one) = 81.9 kJ/mol of atoms
Calculated formation energy = 0.906 eV per atom